MgZr2Fe | meta-GGA SCAN | PBEsol geometry

a = 3.122 Å, b = 3.122 Å, c = 27.188 Å
α = 90.00°, β = 90.00°, γ = 120.00°
Element x y z (fractional)
Mg: 0.000 0.000 0.000
Mg: 0.333 0.667 0.667
Mg: 0.667 0.333 0.333
Zr: 0.000 0.000 0.527
Zr: 0.000 0.000 0.765
Zr: 0.333 0.667 0.193
Zr: 0.333 0.667 0.432
Zr: 0.667 0.333 0.099
Zr: 0.667 0.333 0.860
Fe: 0.000 0.000 0.259
Fe: 0.333 0.667 0.926
Fe: 0.667 0.333 0.592

Values from the calculation:
ΔH_f (0 K) = 0.233 eV/atom
Mass density = 5.70 g/cm3
Crystal system = trigonal
Space-group type = R3m, No. 160



Y2CdSe | meta-GGA SCAN | PBEsol geometry

a = 3.904 Å, b = 3.904 Å, c = 22.956 Å
α = 90.00°, β = 90.00°, γ = 120.00°
Element x y z (fractional)
Y: 0.000 0.000 0.241
Y: 0.000 0.000 0.759
Y: 0.333 0.667 0.426
Y: 0.333 0.667 0.907
Y: 0.667 0.333 0.093
Y: 0.667 0.333 0.574
Cd: 0.000 0.000 0.000
Cd: 0.333 0.667 0.667
Cd: 0.667 0.333 0.333
Se: 0.000 0.000 0.500
Se: 0.333 0.667 0.167
Se: 0.667 0.333 0.833

Values from the calculation:
Mass density = 6.07 g/cm3
Crystal system = trigonal
Energy above the most stable polymorph in this dataset = 0 meV/atom
Space-group type = R-3m, No. 166



LaCr2Se | meta-GGA SCAN | PBEsol geometry

a = 4.011 Å, b = 4.011 Å, c = 16.109 Å
α = 90.00°, β = 90.00°, γ = 120.00°
Element x y z (fractional)
La: 0.000 0.000 0.000
La: 0.333 0.667 0.667
La: 0.667 0.333 0.333
Cr: 0.000 0.000 0.201
Cr: 0.000 0.000 0.508
Cr: 0.333 0.667 0.174
Cr: 0.333 0.667 0.868
Cr: 0.667 0.333 0.535
Cr: 0.667 0.333 0.841
Se: 0.000 0.000 0.792
Se: 0.333 0.667 0.459
Se: 0.667 0.333 0.126

Values from the calculation:
Mass density = 7.15 g/cm3
Crystal system = trigonal
E = -25.418 eV per atom
Space-group type = R3m, No. 160



As2AuSeO | meta-GGA SCAN | PBEsol geometry

a = 4.926 Å, b = 4.926 Å, c = 5.067 Å
α = 90.00°, β = 90.00°, γ = 90.00°
Element x y z (fractional)
As: 0.000 0.500 0.000
As: 0.500 0.000 0.000
Au: 0.000 0.000 0.000
Se: 0.000 0.000 0.500
O: 0.500 0.500 0.500

Values from the calculation:
Mass density = 5.97 g/cm3
Crystal system = tetragonal
E = -25.929 eV per atom
Space-group type = P4/mmm, No. 123



SrTlTc | meta-GGA SCAN | PBEsol geometry

a = 6.922 Å, b = 6.922 Å, c = 6.922 Å
α = 90.00°, β = 90.00°, γ = 90.00°
Element x y z (fractional)
Sr: 0.000 0.000 0.000
Sr: 0.000 0.500 0.500
Sr: 0.500 0.000 0.500
Sr: 0.500 0.500 0.000
Tl: 0.250 0.250 0.250
Tl: 0.250 0.750 0.750
Tl: 0.750 0.250 0.750
Tl: 0.750 0.750 0.250
Tc: 0.000 0.000 0.500
Tc: 0.000 0.500 0.000
Tc: 0.500 0.000 0.000
Tc: 0.500 0.500 0.500

Values from the calculation:
ΔH_f (0 K) = 0.812 eV/atom
Mass density = 7.81 g/cm3
Crystal system = cubic
Space-group type = F-43m, No. 216



CrAsBr2 | meta-GGA SCAN | PBEsol geometry

a = 6.845 Å, b = 6.845 Å, c = 6.845 Å
α = 90.00°, β = 90.00°, γ = 90.00°
Element x y z (fractional)
Cr: 0.000 0.000 0.000
Cr: 0.000 0.500 0.500
Cr: 0.500 0.000 0.500
Cr: 0.500 0.500 0.000
As: 0.250 0.250 0.250
As: 0.250 0.750 0.750
As: 0.750 0.250 0.750
As: 0.750 0.750 0.250
Br: 0.000 0.000 0.500
Br: 0.000 0.500 0.000
Br: 0.250 0.250 0.750
Br: 0.250 0.750 0.250
Br: 0.500 0.000 0.000
Br: 0.500 0.500 0.500
Br: 0.750 0.250 0.250
Br: 0.750 0.750 0.750

Values from the calculation:
Mass density = 5.94 g/cm3
Crystal system = cubic
E = -18.906 eV per atom
Space-group type = F-43m, No. 216



GaSb2Ir | meta-GGA SCAN | PBEsol geometry

a = 6.136 Å, b = 6.136 Å, c = 11.497 Å
α = 90.00°, β = 90.00°, γ = 90.00°
Element x y z (fractional)
Ga: 0.000 0.000 0.000
Ga: 0.000 0.500 0.250
Ga: 0.500 0.000 0.750
Ga: 0.500 0.500 0.500
Sb: 0.228 0.250 0.625
Sb: 0.250 0.728 0.875
Sb: 0.250 0.772 0.375
Sb: 0.272 0.250 0.125
Sb: 0.728 0.750 0.125
Sb: 0.750 0.228 0.375
Sb: 0.750 0.272 0.875
Sb: 0.772 0.750 0.625
Ir: 0.000 0.000 0.500
Ir: 0.000 0.500 0.750
Ir: 0.500 0.000 0.250
Ir: 0.500 0.500 0.000

Values from the calculation:
Mass density = 7.76 g/cm3
Crystal system = tetragonal
E = -40.418 eV per atom
Space-group type = I-42d, No. 122



Rb2CeCuBr6 | meta-GGA SCAN | PBEsol geometry

a = 7.712 Å, b = 7.712 Å, c = 7.712 Å
α = 60.00°, β = 60.00°, γ = 60.00°
Element x y z (fractional)
Rb: 0.250 0.250 0.250
Rb: 0.750 0.750 0.750
Ce: 0.000 0.000 0.000
Cu: 0.500 0.500 0.500
Br: 0.262 0.262 0.738
Br: 0.262 0.738 0.262
Br: 0.262 0.738 0.738
Br: 0.738 0.262 0.262
Br: 0.738 0.262 0.738
Br: 0.738 0.738 0.262

Values from the calculation:
Mass density = 4.37 g/cm3
Crystal system = cubic
E = -23.447 eV per atom
Space-group type = Fm-3m, No. 225



TlInOs2 | meta-GGA SCAN | PBEsol geometry

a = 2.900 Å, b = 2.900 Å, c = 8.743 Å
α = 90.00°, β = 90.00°, γ = 90.00°
Element x y z (fractional)
Tl: 0.000 0.000 0.000
In: 0.500 0.500 0.326
Os: 0.000 0.000 0.563
Os: 0.500 0.500 0.744

Values from the calculation:
ΔH_f (0 K) = 0.478 eV/atom
Mass density = 15.81 g/cm3
Crystal system = tetragonal
Energy above the most stable polymorph in this dataset = 0 meV/atom
Space-group type = P4mm, No. 99



ZrReSb3 | meta-GGA SCAN | PBEsol geometry

a = 5.115 Å, b = 5.115 Å, c = 5.115 Å
α = 90.00°, β = 90.00°, γ = 90.00°
Element x y z (fractional)
Zr: 0.000 0.000 0.000
Re: 0.500 0.500 0.500
Sb: 0.000 0.500 0.500
Sb: 0.500 0.000 0.500
Sb: 0.500 0.500 0.000

Values from the calculation:
Mass density = 7.98 g/cm3
Crystal system = cubic
E = -41.821 eV per atom
Space-group type = Pm-3m, No. 221



CrFeNi | meta-GGA SCAN | PBEsol geometry

a = 3.402 Å, b = 3.412 Å, c = 11.031 Å
α = 90.00°, β = 90.00°, γ = 90.00°
Element x y z (fractional)
Cr: 0.000 0.000 0.000
Cr: 0.000 0.500 0.500
Cr: 0.500 0.000 0.500
Cr: 0.500 0.500 0.000
Fe: 0.000 0.000 0.327
Fe: 0.000 0.500 0.827
Fe: 0.500 0.000 0.827
Fe: 0.500 0.500 0.327
Ni: 0.000 0.000 0.664
Ni: 0.000 0.500 0.164
Ni: 0.500 0.000 0.164
Ni: 0.500 0.500 0.664

Values from the calculation:
ΔH_f (0 K) = 0.059 eV/atom
Mass density = 8.64 g/cm3
Crystal system = orthorhombic
Energy above the most stable polymorph in this dataset = 4 meV/atom
Space-group type = Fmm2, No. 42



GaAg2S | meta-GGA SCAN | PBEsol geometry

a = 6.503 Å, b = 6.503 Å, c = 6.503 Å
α = 90.00°, β = 90.00°, γ = 90.00°
Element x y z (fractional)
Ga: 0.000 0.000 0.000
Ga: 0.000 0.500 0.500
Ga: 0.500 0.000 0.500
Ga: 0.500 0.500 0.000
Ag: 0.250 0.250 0.250
Ag: 0.250 0.250 0.750
Ag: 0.250 0.750 0.250
Ag: 0.250 0.750 0.750
Ag: 0.750 0.250 0.250
Ag: 0.750 0.250 0.750
Ag: 0.750 0.750 0.250
Ag: 0.750 0.750 0.750
S: 0.000 0.000 0.500
S: 0.000 0.500 0.000
S: 0.500 0.000 0.000
S: 0.500 0.500 0.500

Values from the calculation:
Mass density = 7.67 g/cm3
Crystal system = cubic
E = -22.021 eV per atom
Space-group type = Fm-3m, No. 225



LiReAu2 | meta-GGA SCAN | PBEsol geometry

a = 2.634 Å, b = 4.457 Å, c = 5.440 Å
α = 90.00°, β = 90.00°, γ = 90.00°
Element x y z (fractional)
Li: 0.000 0.000 0.000
Re: 0.500 0.500 0.327
Au: 0.000 0.000 0.480
Au: 0.500 0.500 0.834

Values from the calculation:
ΔH_f (0 K) = 0.186 eV/atom
Mass density = 15.27 g/cm3
Crystal system = orthorhombic
Energy above the most stable polymorph in this dataset = 0 meV/atom
Space-group type = Pmm2, No. 25



Li3Mn4P6O24 | meta-GGA SCAN | PBEsol geometry

a = 6.186 Å, b = 8.172 Å, c = 8.557 Å
α = 91.70°, β = 106.98°, γ = 104.92°
Element x y z (fractional)
Li: 0.000 0.000 0.000
Li: 0.232 0.769 0.205
Li: 0.768 0.231 0.795
Mn: 0.132 0.874 0.558
Mn: 0.362 0.441 0.118
Mn: 0.638 0.559 0.882
Mn: 0.868 0.126 0.442
P: 0.124 0.647 0.847
P: 0.251 0.211 0.783
P: 0.354 0.144 0.348
P: 0.646 0.856 0.652
P: 0.749 0.789 0.217
P: 0.876 0.353 0.153
O: 0.025 0.242 0.661
O: 0.101 0.497 0.156
O: 0.106 0.681 0.667
O: 0.167 0.799 0.964
O: 0.176 0.099 0.456
O: 0.234 0.235 0.960
O: 0.263 0.025 0.752
O: 0.266 0.011 0.205
O: 0.328 0.553 0.909
O: 0.379 0.328 0.304
O: 0.404 0.849 0.524
O: 0.479 0.332 0.766
O: 0.521 0.668 0.234
O: 0.596 0.151 0.476
O: 0.621 0.672 0.696
O: 0.672 0.447 0.091
O: 0.734 0.989 0.795
O: 0.737 0.975 0.248
O: 0.766 0.765 0.040
O: 0.824 0.901 0.544
O: 0.833 0.201 0.036
O: 0.894 0.319 0.333
O: 0.899 0.503 0.844
O: 0.975 0.758 0.339

Values from the calculation:
Mass density = 3.39 g/cm3
Crystal system = triclinic
E = -10.221 eV per atom
Space-group type = P-1, No. 2



ReHg2Mo | meta-GGA SCAN | PBEsol geometry

a = 2.776 Å, b = 4.454 Å, c = 5.524 Å
α = 90.00°, β = 90.00°, γ = 90.00°
Element x y z (fractional)
Re: 0.000 0.000 0.000
Hg: 0.500 0.500 0.250
Hg: 0.500 0.500 0.750
Mo: 0.000 0.000 0.500

Values from the calculation:
ΔH_f (0 K) = 0.915 eV/atom
Mass density = 16.61 g/cm3
Crystal system = orthorhombic
Space-group type = Pmmm, No. 47



TcAs2PtBr | meta-GGA SCAN | PBEsol geometry

a = 4.637 Å, b = 4.637 Å, c = 5.018 Å
α = 90.00°, β = 90.00°, γ = 90.00°
Element x y z (fractional)
Tc: 0.000 0.000 0.000
As: 0.000 0.500 0.000
As: 0.500 0.000 0.000
Pt: 0.500 0.500 0.500
Br: 0.000 0.000 0.500

Values from the calculation:
Mass density = 8.05 g/cm3
Crystal system = tetragonal
E = -32.109 eV per atom
Space-group type = P4/mmm, No. 123



Li10Mn3Cr3Ni2O16 | meta-GGA SCAN | PBEsol geometry

a = 5.772 Å, b = 5.908 Å, c = 9.642 Å
α = 91.68°, β = 90.56°, γ = 118.56°
Element x y z (fractional)
Li: 0.000 0.000 0.000
Li: 0.003 0.592 0.004
Li: 0.149 0.860 0.227
Li: 0.196 0.378 0.507
Li: 0.423 0.975 0.001
Li: 0.488 0.550 0.730
Li: 0.594 0.785 0.494
Li: 0.620 0.386 0.507
Li: 0.806 0.180 0.426
Li: 0.818 0.218 0.924
Mn: 0.479 0.035 0.726
Mn: 0.640 0.849 0.228
Mn: 0.643 0.361 0.228
Cr: 0.145 0.354 0.230
Cr: 0.984 0.036 0.728
Cr: 0.984 0.542 0.729
Ni: 0.139 0.849 0.473
Ni: 0.473 0.514 0.975
O: 0.132 0.862 0.848
O: 0.143 0.368 0.845
O: 0.302 0.169 0.611
O: 0.304 0.705 0.615
O: 0.315 0.673 0.116
O: 0.324 0.203 0.113
O: 0.465 0.486 0.352
O: 0.473 0.979 0.356
O: 0.652 0.371 0.837
O: 0.654 0.898 0.840
O: 0.795 0.704 0.105
O: 0.817 0.219 0.112
O: 0.830 0.711 0.610
O: 0.837 0.216 0.614
O: 0.960 0.504 0.348
O: 0.974 0.026 0.338

Values from the calculation:
Mass density = 4.39 g/cm3
Crystal system = triclinic
E = -9.955 eV per atom
Space-group type = P1, No. 1



CrFe2Tc | meta-GGA SCAN | PBEsol geometry

a = 8.274 Å, b = 2.538 Å, c = 4.381 Å
α = 90.00°, β = 99.77°, γ = 90.00°
Element x y z (fractional)
Cr: 0.000 0.000 0.000
Cr: 0.500 0.500 0.000
Fe: 0.013 0.500 0.535
Fe: 0.257 0.000 0.787
Fe: 0.513 0.000 0.535
Fe: 0.757 0.500 0.787
Tc: 0.262 0.500 0.295
Tc: 0.762 0.000 0.295

Values from the calculation:
ΔH_f (0 K) = 0.216 eV/atom
Mass density = 9.59 g/cm3
Crystal system = monoclinic
Space-group type = Cm, No. 8



Be2FeCo | meta-GGA SCAN | PBEsol geometry

a = 3.487 Å, b = 2.437 Å, c = 8.280 Å
α = 90.00°, β = 90.00°, γ = 90.00°
Element x y z (fractional)
Be: 0.000 0.000 0.000
Be: 0.000 0.500 0.500
Be: 0.500 0.000 0.139
Be: 0.500 0.500 0.639
Fe: 0.500 0.000 0.401
Fe: 0.500 0.500 0.901
Co: 0.000 0.000 0.734
Co: 0.000 0.500 0.234

Values from the calculation:
ΔH_f (0 K) = -0.146 eV/atom
Mass density = 6.27 g/cm3
Crystal system = orthorhombic
Space-group type = Amm2, No. 38



Rb2CdAu2 | meta-GGA SCAN | PBEsol geometry

a = 6.562 Å, b = 6.562 Å, c = 8.008 Å
α = 90.00°, β = 90.00°, γ = 90.00°
Element x y z (fractional)
Rb: 0.000 0.500 0.250
Rb: 0.000 0.500 0.750
Rb: 0.500 0.000 0.250
Rb: 0.500 0.000 0.750
Cd: 0.000 0.000 0.000
Cd: 0.500 0.500 0.500
Au: 0.000 0.000 0.336
Au: 0.000 0.000 0.664
Au: 0.500 0.500 0.164
Au: 0.500 0.500 0.836

Values from the calculation:
ΔH_f (0 K) = -0.256 eV/atom
Mass density = 6.52 g/cm3
Crystal system = tetragonal
Energy above the most stable polymorph in this dataset = 11 meV/atom
Space-group type = I4/mmm, No. 139